No. 1
{"formula": "Sm2FePdO6", "functional": "GGA+U", "state": "relaxed", "cell": [[-4.792, -2.103, -1.500], [0.183, -3.710, 4.616], [-3.564, 5.247, 4.358]], "species": ["Sm", "Sm", "Sm", "Sm", "Fe", "Fe", "Pd", "Pd", "O", "O", "O", "O", "O", "O", "O", "O", "O", "O", "O", "O"], "frac_coords": [[0.022, 0.922, 0.250], [0.522, 0.578, 0.750], [0.978, 0.078, 0.750], [0.478, 0.422, 0.250], [0.500, 0.000, 0.000], [0.000, 0.500, 0.500], [0.500, 0.000, 0.500], [0.000, 0.500, 0.000], [0.315, 0.698, 0.056], [0.815, 0.802, 0.556], [0.685, 0.302, 0.944], [0.185, 0.198, 0.444], [0.297, 0.676, 0.445], [0.797, 0.824, 0.945], [0.703, 0.324, 0.555], [0.203, 0.176, 0.055], [0.885, 0.539, 0.251], [0.385, 0.961, 0.751], [0.115, 0.461, 0.749], [0.615, 0.039, 0.249]], "density_g_cm3": 7.478, "dft_energy_ev_per_atom": -7.1970}

=====

No. 2
{"formula": "Sr3Fe2PdO9", "functional": "GGA+U", "state": "relaxed", "cell": [[-0.043, -4.650, 3.099], [4.695, 1.597, -2.577], [1.787, 3.670, 5.531]], "species": ["Sr", "Sr", "Sr", "Fe", "Fe", "Pd", "O", "O", "O", "O", "O", "O", "O", "O", "O"], "frac_coords": [[0.333, 0.667, 0.665], [0.000, 0.000, 0.000], [0.667, 0.333, 0.335], [0.333, 0.667, 0.162], [0.667, 0.333, 0.838], [0.000, 0.000, 0.500], [0.832, 0.168, 0.669], [0.832, 0.664, 0.669], [0.336, 0.168, 0.669], [0.664, 0.832, 0.331], [0.168, 0.336, 0.331], [0.168, 0.832, 0.331], [0.500, 0.000, 0.000], [0.000, 0.500, 0.000], [0.500, 0.500, 0.000]], "density_g_cm3": 5.582, "dft_energy_ev_per_atom": -6.1264}

=====

No. 3
{"formula": "Sr2FePdO4", "functional": "GGA+U", "state": "relaxed", "cell": [[-0.860, -2.498, -4.761], [5.316, 0.874, 0.791], [-1.728, -3.085, 4.140]], "species": ["Sr", "Sr", "Fe", "Pd", "O", "O", "O", "O"], "frac_coords": [[0.500, 0.750, 0.250], [0.000, 0.000, 0.000], [0.000, 0.500, 0.500], [0.500, 0.250, 0.750], [0.654, 0.498, 0.524], [0.026, 0.157, 0.502], [0.974, 0.476, 0.131], [0.346, 0.869, 0.843]], "density_g_cm3": 5.374, "dft_energy_ev_per_atom": -5.9697}

=====

No. 4
{"formula": "Sr2FePdO5", "functional": "GGA+U", "state": "relaxed", "cell": [[3.528, 0.000, 0.000], [-1.764, 7.014, 0.000], [0.000, 0.000, 10.193]], "species": ["Sr", "Sr", "Sr", "Sr", "Fe", "Fe", "Pd", "Pd", "O", "O", "O", "O", "O", "O", "O", "O", "O", "O"], "frac_coords": [[0.866, 0.732, 0.811], [0.113, 0.226, 0.680], [0.134, 0.268, 0.311], [0.887, 0.774, 0.180], [0.563, 0.127, 0.953], [0.437, 0.873, 0.453], [0.789, 0.577, 0.523], [0.211, 0.423, 0.023], [0.355, 0.710, 0.004], [0.691, 0.382, 0.878], [0.500, 0.000, 0.794], [0.288, 0.577, 0.642], [0.942, 0.884, 0.539], [0.645, 0.290, 0.504], [0.309, 0.618, 0.378], [0.500, 0.000, 0.294], [0.712, 0.423, 0.142], [0.058, 0.116, 0.039]], "density_g_cm3": 5.496, "dft_energy_ev_per_atom": -6.0756}